Record 1
The following is a DFT calculation (PBE) of an optimized crystal structure of Cs2Ho2NpTe6.

Summary:
raw formation energy: -1.1788 eV/atom
space group: No. 12

Unit cell a=7.6958 b=7.6958 c=9.5445 alpha=97.81 beta=97.81 gamma=120.03
With the nearest neighbours (Å) after each atom.
Positions (direct):
Cs (0.8326, 0.1674, 0.0000)  6 Te 3.85-3.86
Cs (0.1674, 0.8326, 0.0000)  6 Te 3.85-3.86
Ho (0.3325, 0.6675, 0.5000)  6 Te 3.09-3.10
Ho (0.6675, 0.3325, 0.5000)  6 Te 3.09-3.10
Np (0.0000, 0.0000, 0.5000)  6 Te 3.07-3.08
Te (0.7303, 0.7303, 0.6867)  1 Np 3.08, 2 Ho 3.10
Te (0.0650, 0.3947, 0.6878)  1 Np 3.07, 2 Ho 3.09-3.10
Te (0.2697, 0.2697, 0.3133)  1 Np 3.08, 2 Ho 3.10
Te (0.3947, 0.0650, 0.6878)  1 Np 3.07, 2 Ho 3.09-3.10
Te (0.9350, 0.6053, 0.3122)  1 Np 3.07, 2 Ho 3.09-3.10
Te (0.6053, 0.9350, 0.3122)  1 Np 3.07, 2 Ho 3.09-3.10

---

Record 2
The following is a DFT calculation (PBE) of an optimized crystal structure of Cs5HoO4.

Summary:
raw formation energy: -1.5784 eV/atom
space group: No. 12
offset from the most stable computed form: 57 meV per atom

Unit cell a=3.7833 b=8.0330 c=9.8799 alpha=101.51 beta=101.04 gamma=90.00
With the nearest neighbours (Å) after each atom.
Positions (direct):
Cs (0.8524, 0.6963, 0.7048)  3 O 2.71-2.81
Cs (0.8508, 0.1600, 0.7017)  3 O 2.71-2.86
Cs (0.1492, 0.8400, 0.2983)  3 O 2.71-2.86
Cs (0.5000, 0.5000, 0.0000)  4 O 3.11
Cs (0.1476, 0.3037, 0.2952)  3 O 2.71-2.81
Ho (0.5000, 0.0000, 0.0000)  6 O 2.29-2.44
O (0.3796, 0.9417, 0.7592)  1 Ho 2.29
O (0.9994, 0.8073, 0.9988)  2 Ho 2.44
O (0.6204, 0.0583, 0.2408)  1 Ho 2.29
O (0.0006, 0.1927, 0.0012)  2 Ho 2.44

---

Repeat the first record exactly.
The following is a DFT calculation (PBE) of an optimized crystal structure of Cs2Ho2NpTe6.

Summary:
raw formation energy: -1.1788 eV/atom
space group: No. 12

Unit cell a=7.6958 b=7.6958 c=9.5445 alpha=97.81 beta=97.81 gamma=120.03
With the nearest neighbours (Å) after each atom.
Positions (direct):
Cs (0.8326, 0.1674, 0.0000)  6 Te 3.85-3.86
Cs (0.1674, 0.8326, 0.0000)  6 Te 3.85-3.86
Ho (0.3325, 0.6675, 0.5000)  6 Te 3.09-3.10
Ho (0.6675, 0.3325, 0.5000)  6 Te 3.09-3.10
Np (0.0000, 0.0000, 0.5000)  6 Te 3.07-3.08
Te (0.7303, 0.7303, 0.6867)  1 Np 3.08, 2 Ho 3.10
Te (0.0650, 0.3947, 0.6878)  1 Np 3.07, 2 Ho 3.09-3.10
Te (0.2697, 0.2697, 0.3133)  1 Np 3.08, 2 Ho 3.10
Te (0.3947, 0.0650, 0.6878)  1 Np 3.07, 2 Ho 3.09-3.10
Te (0.9350, 0.6053, 0.3122)  1 Np 3.07, 2 Ho 3.09-3.10
Te (0.6053, 0.9350, 0.3122)  1 Np 3.07, 2 Ho 3.09-3.10

---

Please write out number 2 again, unchanged.
The following is a DFT calculation (PBE) of an optimized crystal structure of Cs5HoO4.

Summary:
raw formation energy: -1.5784 eV/atom
space group: No. 12
offset from the most stable computed form: 57 meV per atom

Unit cell a=3.7833 b=8.0330 c=9.8799 alpha=101.51 beta=101.04 gamma=90.00
With the nearest neighbours (Å) after each atom.
Positions (direct):
Cs (0.8524, 0.6963, 0.7048)  3 O 2.71-2.81
Cs (0.8508, 0.1600, 0.7017)  3 O 2.71-2.86
Cs (0.1492, 0.8400, 0.2983)  3 O 2.71-2.86
Cs (0.5000, 0.5000, 0.0000)  4 O 3.11
Cs (0.1476, 0.3037, 0.2952)  3 O 2.71-2.81
Ho (0.5000, 0.0000, 0.0000)  6 O 2.29-2.44
O (0.3796, 0.9417, 0.7592)  1 Ho 2.29
O (0.9994, 0.8073, 0.9988)  2 Ho 2.44
O (0.6204, 0.0583, 0.2408)  1 Ho 2.29
O (0.0006, 0.1927, 0.0012)  2 Ho 2.44

---

Among the records above, which one has the lowest raw formation energy?
Cs5HoO4